Material: KYPb
Method: DFT, PBE
State: relaxed

a = 5.5964 Å, b = 9.6084 Å, c = 7.3575 Å
α = 90.00°, β = 90.00°, γ = 90.00°
Sites, in units of the cell vectors:
K1 0.0000 0.1658 0.2500
K2 0.0000 0.8342 0.7500
K3 0.5000 0.3342 0.7500
K4 0.5000 0.6658 0.2500
Y1 0.0000 0.5000 0.0000
Y2 0.0000 0.5000 0.5000
Y3 0.5000 0.0000 0.0000
Y4 0.5000 0.0000 0.5000
Pb1 0.0000 0.1688 0.7500
Pb2 0.0000 0.8312 0.2500
Pb3 0.5000 0.3312 0.2500
Pb4 0.5000 0.6688 0.7500

Output
Space group: No. 63
Volume in A^3/atom: 33.0
Calculated total energy in eV/atom: -3.7202
Relative energy among the computed polymorphs in meV per atom: 326
N(E_F) in states/eV per atom: 0.1372
ΔH_f (0 K) in meV per atom: 36.4